P:
Entry from the Alexandria database: crystalline TaFeAs2 at its relaxed geometry (PBE-GGA).

abc: 3.8903 3.8903 5.6677
angles: 78.09 78.09 48.86
With the nearest neighbours (Å) after each atom.
Element x y z (fractional)
As (0.0064, 0.0064, 0.9612)  3 Fe 2.39-2.46, 1 Ta 2.63
As (0.4936, 0.4936, 0.5388)  3 Fe 2.39-2.46, 1 Ta 2.63
Fe (0.7500, 0.7500, 0.7500)  6 As 2.39-2.46
Ta (0.2500, 0.2500, 0.2500)  6 As 2.63-2.69

Computed properties:
**N(E_F)**: 3.2 states/eV per cell

---

Q:
Entry from the Alexandria database: crystalline TaFeAs2 at its relaxed geometry (PBE-GGA).

abc: 3.6617 3.1581 5.5216
angles: 90.07 90.00 90.00
With the nearest neighbours (Å) after each atom.
Element x y z (fractional)
As (0.0000, 0.2504, 0.9947)  2 Fe 2.31
As (0.0000, 0.2496, 0.5053)  2 Fe 2.31
Fe (0.5000, 0.2500, 0.2500)  4 As 2.31
Ta (0.5000, 0.7500, 0.7500)  8 As 2.77

Computed properties:
**N(E_F)**: 3.3 states/eV per cell

---

Which is less stable than every other structure shown? P is.